No. 1
The following is a DFT calculation (PBE-GGA) of an optimized crystal structure of Zn5Te3.

**Space group**: P6_3/mcm
**Energy above the most stable polymorph in this dataset**: 175 meV/atom
**Uncorrected energy**: -0.0714 hartree per atom
**Formation energy from raw total energies**: 31 meV/atom

abc: 8.4474 8.4474 6.1146
angles: 90.00 90.00 120.00
Closest atoms and distances in Å follow each position.
Positions (direct):
Zn (0.3333, 0.6667, 0.0000)  8 Zn 3.06-3.20, 6 Te 3.22
Zn (0.6667, 0.3333, 0.5000)  8 Zn 3.06-3.20, 6 Te 3.22
Zn (0.6667, 0.3333, 0.0000)  8 Zn 3.06-3.20, 6 Te 3.22
Zn (0.3333, 0.6667, 0.5000)  8 Zn 3.06-3.20, 6 Te 3.22
Zn (0.3335, 0.0000, 0.2500)  5 Te 2.80-3.06
Zn (0.6665, 0.0000, 0.7500)  5 Te 2.80-3.06
Zn (0.0000, 0.3335, 0.2500)  5 Te 2.80-3.06
Zn (0.6665, 0.6665, 0.2500)  5 Te 2.80-3.06
Zn (0.3335, 0.3335, 0.7500)  5 Te 2.80-3.06
Zn (0.0000, 0.6665, 0.7500)  5 Te 2.80-3.06
Te (0.6704, 0.0000, 0.2500)  5 Zn 2.80-3.06
Te (0.3296, 0.0000, 0.7500)  5 Zn 2.80-3.06
Te (0.0000, 0.6704, 0.2500)  5 Zn 2.80-3.06
Te (0.3296, 0.3296, 0.2500)  5 Zn 2.80-3.06
Te (0.6704, 0.6704, 0.7500)  5 Zn 2.80-3.06
Te (0.0000, 0.3296, 0.7500)  5 Zn 2.80-3.06


No. 2
The following is a DFT calculation (PBE-GGA) of an optimized crystal structure of Sr3CuAs.

**Space group**: Pm-3m
**Energy of formation from the pure elements**: -240 meV/atom
**Energy above the most stable polymorph in this dataset**: 0 meV/atom
**Uncorrected energy**: -0.1102 hartree per atom

abc: 5.9463 5.9463 5.9463
angles: 90.00 90.00 90.00
Closest atoms and distances in Å follow each position.
Positions (direct):
Sr (0.0000, 0.5000, 0.0000)  2 As 2.97
Sr (0.0000, 0.0000, 0.5000)  2 As 2.97
Sr (0.5000, 0.0000, 0.0000)  2 As 2.97
As (0.0000, 0.0000, 0.0000)  6 Sr 2.97
Cu (0.5000, 0.5000, 0.5000)  12 Sr 4.20


No. 3
The following is a DFT calculation (PBE-GGA) of an optimized crystal structure of InPbBr2Cl.

**Space group**: Cmcm
**Energy above the most stable polymorph in this dataset**: 0 meV/atom
**Uncorrected energy**: -0.1182 hartree per atom
**Formation energy from raw total energies**: -889 meV/atom

abc: 4.4386 7.5633 10.7453
angles: 90.00 90.00 107.06
Closest atoms and distances in Å follow each position.
Positions (direct):
In (0.2657, 0.5313, 0.7500)  2 Cl 3.16
In (0.7343, 0.4687, 0.2500)  2 Cl 3.16
Pb (0.0000, 0.0000, 0.5000)  2 Cl 2.92, 4 Br 3.07
Pb (0.0000, 0.0000, 0.0000)  2 Cl 2.92, 4 Br 3.07
Br (0.6400, 0.2800, 0.5569)  2 Pb 3.07
Br (0.3600, 0.7200, 0.4431)  2 Pb 3.07
Br (0.3600, 0.7200, 0.0569)  2 Pb 3.07
Br (0.6400, 0.2800, 0.9431)  2 Pb 3.07
Cl (0.9209, 0.8417, 0.7500)  2 Pb 2.92, 2 In 3.16
Cl (0.0791, 0.1583, 0.2500)  2 Pb 2.92, 2 In 3.16


No. 4
The following is a DFT calculation (PBE-GGA) of an optimized crystal structure of Li3US4.

**Space group**: I4/mmm
**Uncorrected energy**: -0.2032 hartree per atom
**Formation energy from raw total energies**: -1336 meV/atom

abc: 5.3532 5.3528 10.4801
angles: 90.00 90.00 90.00
Closest atoms and distances in Å follow each position.
Positions (direct):
Li (0.5645, 0.7501, 0.0000)  6 S 2.68-2.73
Li (0.0645, 0.7502, 0.2500)  6 S 2.62-2.68
Li (0.5645, 0.2498, 0.2500)  6 S 2.62-2.68
Li (0.0645, 0.2499, 0.5000)  6 S 2.68-2.73
Li (0.5645, 0.2498, 0.7500)  6 S 2.62-2.68
Li (0.0645, 0.7502, 0.7500)  6 S 2.62-2.68
U (0.0643, 0.2502, 0.0000)  6 S 2.51-2.68
U (0.5643, 0.7498, 0.5000)  6 S 2.51-2.68
S (0.0643, 0.7502, 0.0000)  4 Li 2.62-2.68, 2 U 2.68
S (0.5644, 0.2500, 0.0000)  4 Li 2.62-2.68, 2 U 2.68
S (0.0644, 0.2501, 0.2392)  1 U 2.51, 5 Li 2.68-2.73
S (0.5644, 0.7499, 0.2608)  1 U 2.51, 5 Li 2.68-2.73
S (0.0644, 0.7500, 0.5000)  4 Li 2.62-2.68, 2 U 2.68
S (0.5643, 0.2498, 0.5000)  4 Li 2.62-2.68, 2 U 2.68
S (0.5644, 0.7499, 0.7392)  1 U 2.51, 5 Li 2.68-2.73
S (0.0644, 0.2501, 0.7608)  1 U 2.51, 5 Li 2.68-2.73


No. 5
The following is a DFT calculation (PBE-GGA) of an optimized crystal structure of TaMnPt4.

**Space group**: Amm2
**Energy of formation from the pure elements**: -551 meV/atom
**Energy above the most stable polymorph in this dataset**: 0 meV/atom
**Uncorrected energy**: -0.2970 hartree per atom

abc: 3.8221 4.0506 6.3862
angles: 90.00 72.59 90.00
Closest atoms and distances in Å follow each position.
Positions (direct):
Ta (0.8435, 0.0027, 0.5674)  10 Pt 2.69-2.79
Mn (0.6585, 0.5027, 0.9373)  10 Pt 2.71-2.82, 2 Ta 3.03
Pt (0.1771, 0.0027, 0.8994)  6 Pt 2.74-2.96, 2 Ta 2.78, 4 Mn 2.79-2.80
Pt (0.4995, 0.0027, 0.2556)  2 Ta 2.69-2.70, 8 Pt 2.78-2.91, 2 Mn 2.80
Pt (0.0004, 0.5027, 0.2538)  2 Mn 2.71-2.72, 2 Ta 2.78, 8 Pt 2.78-2.96
Pt (0.3288, 0.5027, 0.5977)  6 Pt 2.74-2.91, 4 Ta 2.79, 2 Mn 2.82


No. 6
The following is a DFT calculation (PBE-GGA) of an optimized crystal structure of Zn2FeP2.

**Space group**: P4/mbm
**Energy of formation from the pure elements**: -43 meV/atom
**Energy above the most stable polymorph in this dataset**: 0 meV/atom
**Uncorrected energy**: -0.1620 hartree per atom

abc: 5.6678 5.6678 4.5329
angles: 90.00 90.00 90.00
Closest atoms and distances in Å follow each position.
Positions (direct):
P (0.3615, 0.8615, 0.0000)  2 Fe 2.19, 1 P 2.22, 2 Zn 2.44
P (0.8615, 0.6385, 0.0000)  2 Fe 2.19, 1 P 2.22, 2 Zn 2.44
P (0.6385, 0.1385, 0.0000)  2 Fe 2.19, 1 P 2.22, 2 Zn 2.44
P (0.1385, 0.3615, 0.0000)  2 Fe 2.19, 1 P 2.22, 2 Zn 2.44
Zn (0.2489, 0.7489, 0.5000)  2 P 2.44
Zn (0.7489, 0.7511, 0.5000)  2 P 2.44
Zn (0.7511, 0.2511, 0.5000)  2 P 2.44
Zn (0.2511, 0.2489, 0.5000)  2 P 2.44
Fe (0.0000, 0.0000, 0.0000)  4 P 2.19
Fe (0.5000, 0.5000, 0.0000)  4 P 2.19


No. 7
The following is a DFT calculation (PBE-GGA) of an optimized crystal structure of Hf6ZnTc5.

**Space group**: Immm
**Energy of formation from the pure elements**: -471 meV/atom
**Uncorrected energy**: -0.3628 hartree per atom

abc: 4.6167 6.5942 7.9909
angles: 114.37 106.79 90.00
Closest atoms and distances in Å follow each position.
Positions (direct):
Zn (0.0000, 0.0000, 0.0000)  8 Hf 2.88-2.89, 4 Tc 3.22
Hf (0.8300, 0.5748, 0.6600)  7 Tc 2.81-2.86, 1 Zn 2.89
Hf (0.8300, 0.0852, 0.6600)  7 Tc 2.81-2.86, 1 Zn 2.89
Hf (0.5000, 0.7387, 0.0000)  6 Tc 2.79-2.83, 2 Zn 2.88
Hf (0.5000, 0.2613, 0.0000)  6 Tc 2.79-2.83, 2 Zn 2.88
Hf (0.1700, 0.9148, 0.3400)  7 Tc 2.81-2.86, 1 Zn 2.89
Hf (0.1700, 0.4252, 0.3400)  7 Tc 2.81-2.86, 1 Zn 2.89
Tc (0.6624, 0.1624, 0.3249)  8 Hf 2.82-2.86
Tc (0.3327, 0.3327, 0.6655)  8 Hf 2.79-2.82
Tc (0.0000, 0.5000, 0.0000)  8 Hf 2.79-2.85
Tc (0.6673, 0.6673, 0.3345)  8 Hf 2.79-2.82
Tc (0.3376, 0.8376, 0.6751)  8 Hf 2.82-2.86


No. 8
The following is a DFT calculation (PBE-GGA) of an optimized crystal structure of PuUPb2.

**Space group**: P4/mmm
**Energy of formation from the pure elements**: 212 meV/atom
**Energy above the most stable polymorph in this dataset**: 124 meV/atom
**Uncorrected energy**: -0.2957 hartree per atom

abc: 4.4503 4.9740 4.9740
angles: 90.00 90.00 90.00
Closest atoms and distances in Å follow each position.
Positions (direct):
Pb (0.0000, 0.0000, 0.5000)  4 Pu 3.34, 4 U 3.34, 4 Pb 3.52
Pb (0.0000, 0.5000, 0.0000)  4 U 3.34, 4 Pu 3.34, 4 Pb 3.52
U (0.5000, 0.5000, 0.5000)  8 Pb 3.34, 4 Pu 3.52
Pu (0.5000, 0.0000, 0.0000)  8 Pb 3.34, 4 U 3.52


No. 9
The following is a DFT calculation (PBE-GGA) of an optimized crystal structure of Ba2CaMn.

**Space group**: F-43m
**Energy of formation from the pure elements**: 439 meV/atom
**Energy above the most stable polymorph in this dataset**: 119 meV/atom
**Uncorrected energy**: -0.1218 hartree per atom

abc: 6.0777 6.0777 6.0777
angles: 60.00 60.00 60.00
Closest atoms and distances in Å follow each position.
Positions (direct):
Ca (0.5000, 0.5000, 0.5000)  4 Ba 3.72, 4 Mn 3.72
Mn (0.7500, 0.7500, 0.7500)  4 Ba 3.72, 4 Ca 3.72
Ba (0.0000, 0.0000, 0.0000)  4 Ba 3.72, 4 Mn 3.72
Ba (0.2500, 0.2500, 0.2500)  4 Ba 3.72, 4 Ca 3.72


No. 10
The following is a DFT calculation (PBE-GGA) of an optimized crystal structure of BaSiBr2.

**Space group**: Pm
**Energy above the most stable polymorph in this dataset**: 132 meV/atom
**Uncorrected energy**: -0.1247 hartree per atom
**Formation energy from raw total energies**: -720 meV/atom

abc: 5.9487 5.0338 6.2198
angles: 58.52 90.00 90.00
Closest atoms and distances in Å follow each position.
Positions (direct):
Ba (0.5000, 0.9503, 0.7399)  5 Br 3.19-3.41
Br (0.0000, 0.8988, 0.9952)  1 Si 2.46
Br (0.5000, 0.2194, 0.1416)  3 Ba 3.19-3.41
Si (0.0000, 0.4315, 0.6233)  1 Br 2.46


No. 11
The following is a DFT calculation (PBE-GGA) of an optimized crystal structure of CsAlTlHg2.

**Space group**: P4/mmm
**Energy of formation from the pure elements**: -22 meV/atom
**Uncorrected energy**: -0.0564 hartree per atom

abc: 5.4855 5.4855 5.7555
angles: 90.00 90.00 90.00
Closest atoms and distances in Å follow each position.
Positions (direct):
Cs (0.5000, 0.5000, 0.5000)  4 Tl 3.88, 8 Hg 3.98
Tl (0.0000, 0.0000, 0.5000)  2 Al 2.88
Hg (0.0000, 0.5000, 0.0000)  2 Al 2.74
Hg (0.5000, 0.0000, 0.0000)  2 Al 2.74
Al (0.0000, 0.0000, 0.0000)  4 Hg 2.74, 2 Tl 2.88


No. 12
The following is a DFT calculation (PBE-GGA) of an optimized crystal structure of Er3Ag2Hg4.

**Space group**: C2/m
**Energy of formation from the pure elements**: -350 meV/atom
**Energy above the most stable polymorph in this dataset**: 12 meV/atom
**Uncorrected energy**: -0.0970 hartree per atom

abc: 4.8971 5.9420 9.0724
angles: 117.75 90.00 114.34
Closest atoms and distances in Å follow each position.
Positions (direct):
Er (0.6671, 0.3341, 0.6654)  4 Ag 3.23-3.30, 8 Hg 3.23-3.33, 2 Er 3.32
Er (0.0000, 0.0000, 0.0000)  8 Hg 3.23-3.38, 4 Ag 3.28, 2 Er 3.32
Er (0.3329, 0.6659, 0.3346)  4 Ag 3.23-3.30, 8 Hg 3.23-3.33, 2 Er 3.32
Ag (0.6093, 0.2186, 0.2788)  3 Hg 2.79-2.80
Ag (0.3907, 0.7814, 0.7212)  3 Hg 2.79-2.80
Hg (0.7131, 0.4263, 0.0531)  1 Ag 2.79, 2 Hg 2.89
Hg (0.2869, 0.5737, 0.9469)  1 Ag 2.79, 2 Hg 2.89
Hg (0.9390, 0.8780, 0.6093)  2 Ag 2.80, 1 Hg 2.89
Hg (0.0610, 0.1220, 0.3907)  2 Ag 2.80, 1 Hg 2.89